No. 1
KCu2 | GGA-PBE | optimized geometry

Summary:
As for the space-group type: Cmcm (63). As for the formation energy: 0.37 eV/atom.

extended XYZ file:
```
6
Lattice="-6.308 5.381 -7.935 4.879 -7.951 6.684 -3.197 0.407 2.817" Properties=species:S:1:pos:R:3 pbc="T T T"
Cu -1.072 -3.411 4.153
Cu -3.554 1.247 -2.587
Cu 1.149 -4.357 3.558
K 1.400 -6.358 7.385
K -6.026 4.194 -5.818
Cu -5.775 2.193 -1.992
```

=====

No. 2
Tl2Ni | GGA-PBE | optimized geometry

Summary:
As for the space-group type: P6/mmm (191). As for the formation energy: 0.64 eV/atom.

extended XYZ file:
```
3
Lattice="5.163 0.000 0.000 -2.581 4.471 0.000 0.000 0.000 3.021" Properties=species:S:1:pos:R:3 pbc="T T T"
Ni 0.000 0.000 0.000
Tl 2.581 1.490 1.510
Tl 0.000 2.981 1.510
```